# 1
# KTlAsSe2

A relaxed KTlAsSe2 crystal (PBE, Alexandria).

Calculated values
For the calculated volume, the calculation gives 41.0 A^3/atom. As for the magnetization: 3.06 μB per formula unit. The value obtained for the energy above the most stable polymorph in this dataset is 0.577 eV/atom. The formation energy from raw total energies is 0.73 eV/atom.

Structure (CIF):
```
data_KTlAsSe2
_space_group_name_H-M_alt 'P 4/m m m'
_space_group_IT_number 123
_space_group_name_Hall '-P 4 2'
_cell_length_a 5.876
_cell_length_b 5.876
_cell_length_c 5.941
_cell_angle_alpha 90.00
_cell_angle_beta 90.00
_cell_angle_gamma 90.00
loop_
_atom_site_label
_atom_site_type_symbol
_atom_site_fract_x
_atom_site_fract_y
_atom_site_fract_z
K1 K 0.000 0.000 0.000
Tl1 Tl 0.500 0.500 0.500
As1 As 0.000 0.000 0.500
Se1 Se 0.000 0.500 0.000
```

# 2
# K2U2AsSe2

A relaxed K2U2AsSe2 crystal (PBE, Alexandria).

Calculated values
For the calculated volume, the calculation gives 34.5 A^3/atom. As for the magnetization: 6.36 μB per formula unit. The formation energy from raw total energies is -0.55 eV/atom.

Structure (CIF):
```
data_K2U2AsSe2
_space_group_name_H-M_alt 'I 4/m m m'
_space_group_IT_number 139
_space_group_name_Hall '-I 4 2'
_cell_length_a 5.404
_cell_length_b 5.404
_cell_length_c 16.535
_cell_angle_alpha 90.00
_cell_angle_beta 90.00
_cell_angle_gamma 90.00
loop_
_atom_site_label
_atom_site_type_symbol
_atom_site_fract_x
_atom_site_fract_y
_atom_site_fract_z
K1 K 0.000 0.000 0.196
U1 U 0.000 0.500 0.000
As1 As 0.000 0.000 0.000
Se1 Se 0.000 0.000 0.395
```

# 3
# K2UAsSe6

A relaxed K2UAsSe6 crystal (PBE, Alexandria).

Calculated values
For the calculated volume, the calculation gives 29.5 A^3/atom. As for the magnetization: 0.00 μB per formula unit. The formation energy from raw total energies is -0.72 eV/atom.

Structure (CIF):
```
data_K2UAsSe6
_space_group_name_H-M_alt 'C 1 2/m 1'
_space_group_IT_number 12
_cell_length_a 12.962
_cell_length_b 7.397
_cell_length_c 7.576
_cell_angle_alpha 90.00
_cell_angle_beta 125.73
_cell_angle_gamma 90.00
loop_
_space_group_symop_operation_xyz
'x,y,z'
'-x,-y,-z'
'-x,y,-z'
'x,-y,z'
'x+1/2,y+1/2,z'
'-x+1/2,-y+1/2,-z'
'-x+1/2,y+1/2,-z'
'x+1/2,-y+1/2,z'
loop_
_atom_site_label
_atom_site_type_symbol
_atom_site_fract_x
_atom_site_fract_y
_atom_site_fract_z
K1 K 0.248 0.000 0.251
U1 U 0.000 0.000 0.500
As1 As 0.000 0.500 0.000
Se1 Se 0.030 0.252 0.281
Se2 Se 0.249 0.500 0.192
```

# 4
# KVAs2Se

A relaxed KVAs2Se crystal (PBE, Alexandria).

Calculated values
For the calculated volume, the calculation gives 23.6 A^3/atom. As for the magnetization: 0.00 μB per formula unit. The value obtained for the energy above the most stable polymorph in this dataset is 0.000 eV/atom. The formation energy from raw total energies is -0.25 eV/atom.

Structure (CIF):
```
data_KVAs2Se
_space_group_name_H-M_alt 'P 4/m m m'
_space_group_IT_number 123
_space_group_name_Hall '-P 4 2'
_cell_length_a 4.851
_cell_length_b 4.851
_cell_length_c 5.010
_cell_angle_alpha 90.00
_cell_angle_beta 90.00
_cell_angle_gamma 90.00
loop_
_atom_site_label
_atom_site_type_symbol
_atom_site_fract_x
_atom_site_fract_y
_atom_site_fract_z
K1 K 0.000 0.000 0.000
V1 V 0.500 0.500 0.500
As1 As 0.000 0.500 0.500
Se1 Se 0.500 0.500 0.000
```

# 5
# KVAs2Se

A relaxed KVAs2Se crystal (PBE, Alexandria).

Calculated values
For the calculated volume, the calculation gives 30.0 A^3/atom. As for the magnetization: 0.18 μB per formula unit. The value obtained for the energy above the most stable polymorph in this dataset is 2.115 eV/atom. The formation energy from raw total energies is 1.87 eV/atom.

Structure (CIF):
```
data_KVAs2Se
_space_group_name_H-M_alt 'P 4/m m m'
_space_group_IT_number 123
_space_group_name_Hall '-P 4 2'
_cell_length_a 5.261
_cell_length_b 5.261
_cell_length_c 5.427
_cell_angle_alpha 90.00
_cell_angle_beta 90.00
_cell_angle_gamma 90.00
loop_
_atom_site_label
_atom_site_type_symbol
_atom_site_fract_x
_atom_site_fract_y
_atom_site_fract_z
K1 K 0.000 0.000 0.000
V1 V 0.500 0.500 0.500
As1 As 0.000 0.500 0.000
Se1 Se 0.000 0.000 0.500
```

# 6
# K2VAsSe5

A relaxed K2VAsSe5 crystal (PBE, Alexandria).

Calculated values
For the calculated volume, the calculation gives 30.0 A^3/atom. As for the magnetization: 1.13 μB per formula unit. The formation energy from raw total energies is -0.63 eV/atom.

Structure (CIF):
```
data_K2VAsSe5
_space_group_name_H-M_alt 'C m c 21'
_space_group_IT_number 36
_cell_length_a 4.115
_cell_length_b 19.254
_cell_length_c 13.618
_cell_angle_alpha 90.00
_cell_angle_beta 90.00
_cell_angle_gamma 90.00
loop_
_space_group_symop_operation_xyz
'x,y,z'
'-x,-y,z+1/2'
'-x,y,z'
'x,-y,z+1/2'
'x+1/2,y+1/2,z'
'-x+1/2,-y+1/2,z+1/2'
'-x+1/2,y+1/2,z'
'x+1/2,-y+1/2,z+1/2'
loop_
_atom_site_label
_atom_site_type_symbol
_atom_site_fract_x
_atom_site_fract_y
_atom_site_fract_z
K1 K 0.000 0.124 0.000
K2 K 0.000 0.139 0.373
V1 V 0.000 0.206 0.718
As1 As 0.000 0.431 0.108
Se1 Se 0.000 0.060 0.709
Se2 Se 0.000 0.308 0.083
Se3 Se 0.000 0.309 0.327
Se4 Se 0.000 0.324 0.686
Se5 Se 0.000 0.489 0.960
```

# 7
# KAsWSe2

A relaxed KAsWSe2 crystal (PBE, Alexandria).

Calculated values
For the calculated volume, the calculation gives 27.8 A^3/atom. As for the magnetization: 0.00 μB per formula unit. The value obtained for the energy above the most stable polymorph in this dataset is 2.540 eV/atom. The formation energy from raw total energies is 2.38 eV/atom.

Structure (CIF):
```
data_KAsWSe2
_space_group_name_H-M_alt 'P 4/m m m'
_space_group_IT_number 123
_space_group_name_Hall '-P 4 2'
_cell_length_a 5.240
_cell_length_b 5.240
_cell_length_c 5.069
_cell_angle_alpha 90.00
_cell_angle_beta 90.00
_cell_angle_gamma 90.00
loop_
_atom_site_label
_atom_site_type_symbol
_atom_site_fract_x
_atom_site_fract_y
_atom_site_fract_z
K1 K 0.000 0.000 0.000
As1 As 0.000 0.000 0.500
W1 W 0.500 0.500 0.500
Se1 Se 0.000 0.500 0.000
```

# 8
# KAsWSe2

A relaxed KAsWSe2 crystal (PBE, Alexandria).

Calculated values
For the calculated volume, the calculation gives 25.4 A^3/atom. As for the magnetization: 0.00 μB per formula unit. The value obtained for the energy above the most stable polymorph in this dataset is 0.000 eV/atom. The formation energy from raw total energies is -0.16 eV/atom.

Structure (CIF):
```
data_KAsWSe2
_space_group_name_H-M_alt 'P 4/m m m'
_space_group_IT_number 123
_space_group_name_Hall '-P 4 2'
_cell_length_a 5.080
_cell_length_b 5.080
_cell_length_c 4.930
_cell_angle_alpha 90.00
_cell_angle_beta 90.00
_cell_angle_gamma 90.00
loop_
_atom_site_label
_atom_site_type_symbol
_atom_site_fract_x
_atom_site_fract_y
_atom_site_fract_z
K1 K 0.000 0.000 0.000
As1 As 0.500 0.500 0.000
W1 W 0.500 0.500 0.500
Se1 Se 0.000 0.500 0.500
```

# 9
# KYAsSe2

A relaxed KYAsSe2 crystal (PBE, Alexandria).

Calculated values
For the calculated volume, the calculation gives 34.4 A^3/atom. As for the magnetization: 1.23 μB per formula unit. The value obtained for the energy above the most stable polymorph in this dataset is 0.000 eV/atom. The formation energy from raw total energies is -0.71 eV/atom.

Structure (CIF):
```
data_KYAsSe2
_space_group_name_H-M_alt 'P 4/m m m'
_space_group_IT_number 123
_space_group_name_Hall '-P 4 2'
_cell_length_a 5.551
_cell_length_b 5.551
_cell_length_c 5.576
_cell_angle_alpha 90.00
_cell_angle_beta 90.00
_cell_angle_gamma 90.00
loop_
_atom_site_label
_atom_site_type_symbol
_atom_site_fract_x
_atom_site_fract_y
_atom_site_fract_z
K1 K 0.000 0.000 0.000
Y1 Y 0.500 0.500 0.500
As1 As 0.500 0.500 0.000
Se1 Se 0.000 0.500 0.500
```

# 10
# KYAsSe2

A relaxed KYAsSe2 crystal (PBE, Alexandria).

Calculated values
For the calculated volume, the calculation gives 30.1 A^3/atom. As for the magnetization: 0.00 μB per formula unit. The value obtained for the energy above the most stable polymorph in this dataset is 1.133 eV/atom. The formation energy from raw total energies is 0.42 eV/atom.

Structure (CIF):
```
data_KYAsSe2
_space_group_name_H-M_alt 'P 4/m m m'
_space_group_IT_number 123
_space_group_name_Hall '-P 4 2'
_cell_length_a 5.422
_cell_length_b 5.422
_cell_length_c 5.125
_cell_angle_alpha 90.00
_cell_angle_beta 90.00
_cell_angle_gamma 90.00
loop_
_atom_site_label
_atom_site_type_symbol
_atom_site_fract_x
_atom_site_fract_y
_atom_site_fract_z
K1 K 0.000 0.000 0.000
Y1 Y 0.500 0.500 0.500
As1 As 0.000 0.000 0.500
Se1 Se 0.000 0.500 0.000
```

# 11
# K2ZnAsSe4

A relaxed K2ZnAsSe4 crystal (PBE, Alexandria).

Calculated values
For the calculated volume, the calculation gives 32.3 A^3/atom. As for the magnetization: 0.00 μB per formula unit. The formation energy from raw total energies is -0.63 eV/atom.

Structure (CIF):
```
data_K2ZnAsSe4
_space_group_name_H-M_alt 'F d d d'
_space_group_IT_number 70
_cell_length_a 6.222
_cell_length_b 14.003
_cell_length_c 23.755
_cell_angle_alpha 90.00
_cell_angle_beta 90.00
_cell_angle_gamma 90.00
loop_
_space_group_symop_operation_xyz
'x,y,z'
'-x,-y,-z'
'-x+1/4,-y+1/4,z'
'x+1/4,y+1/4,-z'
'x,-y+1/4,-z+1/4'
'-x,y+1/4,z+1/4'
'-x+1/4,y,-z+1/4'
'x+1/4,-y,z+1/4'
'x,y+1/2,z+1/2'
'-x,-y+1/2,-z+1/2'
'-x+1/4,-y+3/4,z+1/2'
'x+1/4,y+3/4,-z+1/2'
'x,-y+3/4,-z+3/4'
'-x,y+3/4,z+3/4'
'-x+1/4,y+1/2,-z+3/4'
'x+1/4,-y+1/2,z+3/4'
'x+1/2,y,z+1/2'
'-x+1/2,-y,-z+1/2'
'-x+3/4,-y+1/4,z+1/2'
'x+3/4,y+1/4,-z+1/2'
'x+1/2,-y+1/4,-z+3/4'
'-x+1/2,y+1/4,z+3/4'
'-x+3/4,y,-z+3/4'
'x+3/4,-y,z+3/4'
'x+1/2,y+1/2,z'
'-x+1/2,-y+1/2,-z'
'-x+3/4,-y+3/4,z'
'x+3/4,y+3/4,-z'
'x+1/2,-y+3/4,-z+1/4'
'-x+1/2,y+3/4,z+1/4'
'-x+3/4,y+1/2,-z+1/4'
'x+3/4,-y+1/2,z+1/4'
loop_
_atom_site_label
_atom_site_type_symbol
_atom_site_fract_x
_atom_site_fract_y
_atom_site_fract_z
K1 K 0.125 0.125 0.307
Zn1 Zn 0.125 0.125 0.125
As1 As 0.125 0.125 0.625
Se1 Se 0.122 0.273 0.820
```

# 12
# KSiAs

A relaxed KSiAs crystal (PBE, Alexandria).

Calculated values
For the calculated volume, the calculation gives 26.8 A^3/atom. As for the magnetization: 0.00 μB per formula unit. The formation energy from raw total energies is -0.21 eV/atom.

Structure (CIF):
```
data_KSiAs
_space_group_name_H-M_alt 'P 3 m 1'
_space_group_IT_number 156
_cell_length_a 3.8183
_cell_length_b 3.8183
_cell_length_c 6.3637
_cell_angle_alpha 90.00
_cell_angle_beta 90.00
_cell_angle_gamma 120.00
loop_
_space_group_symop_operation_xyz
'x,y,z'
'-y,x-y,z'
'-x+y,-x,z'
'-y,-x,z'
'-x+y,y,z'
'x,x-y,z'
loop_
_atom_site_label
_atom_site_type_symbol
_atom_site_fract_x
_atom_site_fract_y
_atom_site_fract_z
K1 K 0.0000 0.0000 0.0000
Si1 Si 0.6667 0.3333 0.4134
As1 As 0.3333 0.6667 0.5960
```